A | Material: LiInS
Method: DFT, PBE-GGA
State: relaxed

Values from the calculation:
As for the space-group type: R-3m, No. 166.

Lattice parameters (Å, degrees): 4.1476 4.1476 26.5334 90.00 90.00 120.00
With the nearest neighbours (Å) after each atom.
Atoms (fractional coordinates):
S: 0.3333 0.6667 0.2722  4 Li 2.49-2.51
S: 0.6667 0.3333 0.7278  4 Li 2.49-2.51
S: 0.0000 0.0000 0.6056  4 Li 2.49-2.51
S: 0.6667 0.3333 0.9389  4 Li 2.49-2.51
S: 0.3333 0.6667 0.0611  4 Li 2.49-2.51
S: 0.0000 0.0000 0.3944  4 Li 2.49-2.51
In: 0.6667 0.3333 0.2100  3 S 2.91
In: 0.3333 0.6667 0.7900  3 S 2.91
In: 0.3333 0.6667 0.5433  3 S 2.91
In: 0.0000 0.0000 0.8766  3 S 2.91
In: 0.0000 0.0000 0.1234  3 S 2.91
In: 0.6667 0.3333 0.4567  3 S 2.91
Li: 0.6667 0.3333 0.0327  4 S 2.49-2.51
Li: 0.0000 0.0000 0.6993  4 S 2.49-2.51
Li: 0.3333 0.6667 0.3660  4 S 2.49-2.51
Li: 0.0000 0.0000 0.3007  4 S 2.49-2.51
Li: 0.6667 0.3333 0.6340  4 S 2.49-2.51
Li: 0.3333 0.6667 0.9673  4 S 2.49-2.51

=====

B | Material: LiInS
Method: DFT, PBE-GGA
State: relaxed

Values from the calculation:
As for the space-group type: I-4m2, No. 119.

Lattice parameters (Å, degrees): 4.0307 4.0307 16.5861 90.00 90.00 90.00
With the nearest neighbours (Å) after each atom.
Atoms (fractional coordinates):
In: 0.0000 0.0000 0.1962  2 S 2.75
In: 0.5000 0.5000 0.3038  2 S 2.75
In: 0.5000 0.5000 0.6962  2 S 2.75
In: 0.0000 0.0000 0.8038  2 S 2.75
Li: 0.0000 0.0000 0.0000  4 S 2.44
Li: 0.5000 0.5000 0.0000  4 S 2.44
Li: 0.5000 0.5000 0.5000  4 S 2.44
Li: 0.0000 0.0000 0.5000  4 S 2.44
S: 0.0000 0.5000 0.4169  4 Li 2.44
S: 0.5000 0.0000 0.5831  4 Li 2.44
S: 0.5000 0.0000 0.9169  4 Li 2.44
S: 0.0000 0.5000 0.0831  4 Li 2.44

=====

Winner for stability: A

=====

A | Material: LiInS
Method: DFT, PBE-GGA
State: relaxed

Values from the calculation:
As for the space-group type: R-3m, No. 166.

Lattice parameters (Å, degrees): 4.2371 4.2371 9.7467 77.45 77.45 60.00
With the nearest neighbours (Å) after each atom.
Atoms (fractional coordinates):
In: 0.8047 0.8047 0.5859  1 S 2.40
In: 0.1953 0.1953 0.4141  1 S 2.40
S: 0.2801 0.2801 0.1598  1 In 2.40, 4 Li 2.49-2.58
S: 0.7199 0.7199 0.8402  1 In 2.40, 4 Li 2.49-2.58
Li: 0.6289 0.6289 0.1132  4 S 2.49-2.58
Li: 0.3711 0.3711 0.8868  4 S 2.49-2.58

=====

B | Material: LiInS
Method: DFT, PBE-GGA
State: relaxed

Values from the calculation:
As for the space-group type: Cmc2_1, No. 36.

Lattice parameters (Å, degrees): 3.8677 14.2269 5.0123 90.00 90.00 90.00
With the nearest neighbours (Å) after each atom.
Atoms (fractional coordinates):
S: 0.0000 0.8296 0.6596  4 Li 2.52-2.59, 2 In 2.64
S: 0.5000 0.6704 0.1596  4 Li 2.52-2.59, 2 In 2.64
S: 0.5000 0.3296 0.6596  4 Li 2.52-2.59, 2 In 2.64
S: 0.0000 0.1704 0.1596  4 Li 2.52-2.59, 2 In 2.64
In: 0.0000 0.5450 0.1062  2 S 2.64, 2 In 2.81
In: 0.0000 0.4550 0.6062  2 S 2.64, 2 In 2.81
In: 0.5000 0.9550 0.6062  2 S 2.64, 2 In 2.81
In: 0.5000 0.0450 0.1062  2 S 2.64, 2 In 2.81
Li: 0.0000 0.2156 0.6610  4 S 2.52-2.59
Li: 0.0000 0.7844 0.1610  4 S 2.52-2.59
Li: 0.5000 0.2844 0.1610  4 S 2.52-2.59
Li: 0.5000 0.7156 0.6610  4 S 2.52-2.59

=====

Winner for stability: B